No. 1
Here is Er4GePbS2 after structural relaxation from the Alexandria database. Energies are from PBE-GGA.

Lattice parameters (Å, degrees): 7.107 4.010 7.131 90.00 108.89 90.00
Sites, in units of the cell vectors:
Er 0.230 0.000 0.231
Er 0.241 0.500 0.756
Er 0.759 0.500 0.244
Er 0.770 0.000 0.769
Ge 0.000 0.000 0.500
Pb 0.500 0.500 0.500
S 0.000 0.500 0.000
S 0.500 0.000 0.000

The volume comes out at 24.04 Å³ per atom. As for the density of states at the Fermi level: 3.339 states/eV/cell. The uncorrected formation energy is -121 kJ per mole of atoms. Its total DFT energy (no corrections) is -5.609 eV/atom.

=====

No. 2
Here is HfMg14Sn after structural relaxation from the Alexandria database. Energies are from PBE-GGA.

Lattice parameters (Å, degrees): 6.418 6.418 10.169 90.00 90.00 120.00
Sites, in units of the cell vectors:
Hf 0.000 0.000 0.000
Mg 0.007 0.504 0.000
Mg 0.163 0.326 0.248
Mg 0.163 0.326 0.752
Mg 0.163 0.837 0.248
Mg 0.163 0.837 0.752
Mg 0.496 0.504 0.000
Mg 0.496 0.993 0.000
Mg 0.502 0.004 0.500
Mg 0.502 0.498 0.500
Mg 0.667 0.333 0.244
Mg 0.667 0.333 0.756
Mg 0.674 0.837 0.248
Mg 0.674 0.837 0.752
Mg 0.996 0.498 0.500
Sn 0.000 0.000 0.500

The volume comes out at 22.67 Å³ per atom. As for the density of states at the Fermi level: 6.482 states/eV/cell. The formation energy comes out at 9 meV/atom. The energy above the most stable polymorph in this dataset comes out at 0.27 eV/f.u. Its total DFT energy (no corrections) is -2.258 eV/atom.

=====

total DFT energy (no corrections) of number 1 (Er4GePbS2)? -5.609 eV/atom